Entry 1:
The following is a GGA-PBE calculation of a relaxed structure of NiTe2Au, from Alexandria.

Structure (CIF):
```
data_NiTe2Au
_symmetry_space_group_name_H-M 'I m m m'
_symmetry_Int_Tables_number 71
_symmetry_space_group_name_Hall '-I 2 2'
_cell_length_a 3.7624
_cell_length_b 4.3704
_cell_length_c 11.9192
_cell_angle_alpha 90.00
_cell_angle_beta 90.00
_cell_angle_gamma 90.00
loop_
_atom_site_label
_atom_site_fract_x
_atom_site_fract_y
_atom_site_fract_z
_atom_site_occupancy
Ni1 0.0000 0.0000 0.0000 1
Te1 0.0000 0.5000 0.3541 1
Au1 0.0000 0.0000 0.5000 1
```

Output
* total energy: -15.6 eV per formula unit
* DOS(E_F): 3.5 states/eV/f.u.
* crystal system: orthorhombic

Entry 2:
The following is a GGA-PBE calculation of a relaxed structure of Ni2Te6Au, from Alexandria.

Structure (CIF):
```
data_Ni2Te6Au
_symmetry_space_group_name_H-M 'P -3 m 1'
_symmetry_Int_Tables_number 164
_symmetry_space_group_name_Hall '-P 3 2"'
_cell_length_a 12.1127
_cell_length_b 12.1127
_cell_length_c 5.3517
_cell_angle_alpha 90.00
_cell_angle_beta 90.00
_cell_angle_gamma 120.00
loop_
_atom_site_label
_atom_site_fract_x
_atom_site_fract_y
_atom_site_fract_z
_atom_site_occupancy
Ni1 0.0000 0.3341 0.0000 1
Te1 0.0817 0.5409 0.7338 1
Te2 0.1188 0.2376 0.7463 1
Te3 0.2105 0.4210 0.2451 1
Au1 0.0000 0.0000 0.0000 1
Au2 0.3333 0.6667 0.4859 1
```

Output
* total energy: -34.8 eV per formula unit
* DOS(E_F): 5.9 states/eV/f.u.
* crystal system: trigonal

Entry 3:
The following is a GGA-PBE calculation of a relaxed structure of NiTeAu2, from Alexandria.

Structure (CIF):
```
data_NiTeAu2
_symmetry_space_group_name_H-M 'F -4 3 m'
_symmetry_Int_Tables_number 216
_symmetry_space_group_name_Hall 'F -4 2 3'
_cell_length_a 6.6608
_cell_length_b 6.6608
_cell_length_c 6.6608
_cell_angle_alpha 90.00
_cell_angle_beta 90.00
_cell_angle_gamma 90.00
loop_
_atom_site_label
_atom_site_fract_x
_atom_site_fract_y
_atom_site_fract_z
_atom_site_occupancy
Ni1 0.0000 0.0000 0.0000 1
Te1 0.2500 0.2500 0.7500 1
Au1 0.0000 0.0000 0.5000 1
Au2 0.2500 0.2500 0.2500 1
```

Output
* total energy: -14.3 eV per formula unit
* DOS(E_F): 4.2 states/eV/f.u.
* crystal system: cubic

Entry 4:
The following is a GGA-PBE calculation of a relaxed structure of NiTeAu2, from Alexandria.

Structure (CIF):
```
data_NiTeAu2
_symmetry_space_group_name_H-M 'I -4 m 2'
_symmetry_Int_Tables_number 119
_symmetry_space_group_name_Hall 'I -4 -2'
_cell_length_a 4.2528
_cell_length_b 4.2528
_cell_length_c 8.0969
_cell_angle_alpha 90.00
_cell_angle_beta 90.00
_cell_angle_gamma 90.00
loop_
_atom_site_label
_atom_site_fract_x
_atom_site_fract_y
_atom_site_fract_z
_atom_site_occupancy
Ni1 0.0000 0.0000 0.0000 1
Te1 0.0000 0.5000 0.7500 1
Au1 0.0000 0.0000 0.5000 1
Au2 0.0000 0.5000 0.2500 1
```

Output
* total energy: -14.5 eV per formula unit
* DOS(E_F): 2.7 states/eV/f.u.
* crystal system: tetragonal

Entry 5:
The following is a GGA-PBE calculation of a relaxed structure of NiTe4Au, from Alexandria.

Structure (CIF):
```
data_NiTe4Au
_symmetry_space_group_name_H-M 'F -4 3 m'
_symmetry_Int_Tables_number 216
_symmetry_space_group_name_Hall 'F -4 2 3'
_cell_length_a 8.7880
_cell_length_b 8.7880
_cell_length_c 8.7880
_cell_angle_alpha 90.00
_cell_angle_beta 90.00
_cell_angle_gamma 90.00
loop_
_atom_site_label
_atom_site_fract_x
_atom_site_fract_y
_atom_site_fract_z
_atom_site_occupancy
Ni1 0.0000 0.0000 0.0000 1
Te1 0.1247 0.1247 0.6247 1
Au1 0.2500 0.2500 0.2500 1
```

Output
* total energy: -16.0 eV per formula unit
* DOS(E_F): 12.9 states/eV/f.u.
* crystal system: cubic

Entry 6:
The following is a GGA-PBE calculation of a relaxed structure of Ni2TeAu, from Alexandria.

Structure (CIF):
```
data_Ni2TeAu
_symmetry_space_group_name_H-M 'A m m 2'
_symmetry_Int_Tables_number 38
_cell_length_a 3.9458
_cell_length_b 3.4925
_cell_length_c 9.4196
_cell_angle_alpha 90.00
_cell_angle_beta 90.00
_cell_angle_gamma 90.00
loop_
_symmetry_equiv_pos_as_xyz
'x,y,z'
'-x,-y,z'
'-x,y,z'
'x,-y,z'
'x,y+1/2,z+1/2'
'-x,-y+1/2,z+1/2'
'-x,y+1/2,z+1/2'
'x,-y+1/2,z+1/2'
loop_
_atom_site_label
_atom_site_fract_x
_atom_site_fract_y
_atom_site_fract_z
_atom_site_occupancy
Ni1 0.0000 0.0000 0.0000 1
Ni2 0.5000 0.0000 0.1704 1
Te1 0.0000 0.0000 0.7225 1
Au1 0.5000 0.0000 0.4470 1
```

Output
* total energy: -17.7 eV per formula unit
* DOS(E_F): 2.8 states/eV/f.u.
* crystal system: orthorhombic

Entry 7:
The following is a GGA-PBE calculation of a relaxed structure of Ni2TeAu, from Alexandria.

Structure (CIF):
```
data_Ni2TeAu
_symmetry_space_group_name_H-M 'P 4 m m'
_symmetry_Int_Tables_number 99
_cell_length_a 3.6660
_cell_length_b 3.6660
_cell_length_c 5.0974
_cell_angle_alpha 90.00
_cell_angle_beta 90.00
_cell_angle_gamma 90.00
loop_
_symmetry_equiv_pos_as_xyz
'x,y,z'
'-y,x,z'
'-x,-y,z'
'y,-x,z'
'-x,y,z'
'y,x,z'
'x,-y,z'
'-y,-x,z'
loop_
_atom_site_label
_atom_site_fract_x
_atom_site_fract_y
_atom_site_fract_z
_atom_site_occupancy
Ni1 0.0000 0.0000 0.0000 1
Ni2 0.5000 0.5000 0.4213 1
Te1 0.0000 0.0000 0.4959 1
Au1 0.5000 0.5000 0.9279 1
```

Output
* total energy: -17.5 eV per formula unit
* DOS(E_F): 2.3 states/eV/f.u.
* crystal system: tetragonal

Entry 8:
The following is a GGA-PBE calculation of a relaxed structure of Ni2TeAu, from Alexandria.

Structure (CIF):
```
data_Ni2TeAu
_symmetry_space_group_name_H-M 'C 1 m 1'
_symmetry_Int_Tables_number 8
_cell_length_a 8.8346
_cell_length_b 3.4603
_cell_length_c 4.3692
_cell_angle_alpha 90.00
_cell_angle_beta 103.27
_cell_angle_gamma 90.00
loop_
_symmetry_equiv_pos_as_xyz
'x,y,z'
'x,-y,z'
'x+1/2,y+1/2,z'
'x+1/2,-y+1/2,z'
loop_
_atom_site_label
_atom_site_fract_x
_atom_site_fract_y
_atom_site_fract_z
_atom_site_occupancy
Ni1 0.0000 0.0000 0.0000 1
Ni2 0.2493 0.0000 0.7397 1
Te1 0.2352 0.5000 0.1608 1
Au1 0.0012 0.5000 0.5198 1
```

Output
* total energy: -17.4 eV per formula unit
* DOS(E_F): 2.6 states/eV/f.u.
* crystal system: monoclinic

Entry 9:
The following is a GGA-PBE calculation of a relaxed structure of NiTe4Au, from Alexandria.

Structure (CIF):
```
data_NiTe4Au
_symmetry_space_group_name_H-M 'P 1 2/m 1'
_symmetry_Int_Tables_number 10
_cell_length_a 5.2433
_cell_length_b 4.0359
_cell_length_c 7.3379
_cell_angle_alpha 90.00
_cell_angle_beta 90.05
_cell_angle_gamma 90.00
loop_
_symmetry_equiv_pos_as_xyz
'x,y,z'
'-x,-y,-z'
'-x,y,-z'
'x,-y,z'
loop_
_atom_site_label
_atom_site_fract_x
_atom_site_fract_y
_atom_site_fract_z
_atom_site_occupancy
Ni1 0.0000 0.0000 0.0000 1
Te1 0.2408 0.0000 0.6895 1
Te2 0.2807 0.5000 0.1232 1
Au1 0.0000 0.5000 0.5000 1
```

Output
* total energy: -22.4 eV per formula unit
* DOS(E_F): 3.1 states/eV/f.u.
* crystal system: monoclinic

Entry 10:
The following is a GGA-PBE calculation of a relaxed structure of Ni2TeAu, from Alexandria.

Structure (CIF):
```
data_Ni2TeAu
_symmetry_space_group_name_H-M 'F -4 3 m'
_symmetry_Int_Tables_number 216
_symmetry_space_group_name_Hall 'F -4 2 3'
_cell_length_a 6.3796
_cell_length_b 6.3796
_cell_length_c 6.3796
_cell_angle_alpha 90.00
_cell_angle_beta 90.00
_cell_angle_gamma 90.00
loop_
_atom_site_label
_atom_site_fract_x
_atom_site_fract_y
_atom_site_fract_z
_atom_site_occupancy
Ni1 0.0000 0.0000 0.0000 1
Ni2 0.2500 0.2500 0.2500 1
Te1 0.2500 0.2500 0.7500 1
Au1 0.0000 0.0000 0.5000 1
```

Output
* total energy: -16.7 eV per formula unit
* DOS(E_F): 2.0 states/eV/f.u.
* crystal system: cubic

Entry 11:
The following is a GGA-PBE calculation of a relaxed structure of Ni2TeAu, from Alexandria.

Structure (CIF):
```
data_Ni2TeAu
_symmetry_space_group_name_H-M 'I -4 2 d'
_symmetry_Int_Tables_number 122
_symmetry_space_group_name_Hall 'I -4 2bw'
_cell_length_a 7.0121
_cell_length_b 7.0121
_cell_length_c 5.5368
_cell_angle_alpha 90.00
_cell_angle_beta 90.00
_cell_angle_gamma 90.00
loop_
_atom_site_label
_atom_site_fract_x
_atom_site_fract_y
_atom_site_fract_z
_atom_site_occupancy
Ni1 0.2373 0.2500 0.1250 1
Te1 0.0000 0.0000 0.0000 1
Au1 0.0000 0.0000 0.5000 1
```

Output
* total energy: -17.0 eV per formula unit
* DOS(E_F): 3.4 states/eV/f.u.
* crystal system: tetragonal

Entry 12:
The following is a GGA-PBE calculation of a relaxed structure of NiTe2Au, from Alexandria.

Structure (CIF):
```
data_NiTe2Au
_symmetry_space_group_name_H-M 'C 1 2/m 1'
_symmetry_Int_Tables_number 12
_cell_length_a 6.0844
_cell_length_b 7.7887
_cell_length_c 4.9369
_cell_angle_alpha 90.00
_cell_angle_beta 127.91
_cell_angle_gamma 90.00
loop_
_symmetry_equiv_pos_as_xyz
'x,y,z'
'-x,-y,-z'
'-x,y,-z'
'x,-y,z'
'x+1/2,y+1/2,z'
'-x+1/2,-y+1/2,-z'
'-x+1/2,y+1/2,-z'
'x+1/2,-y+1/2,z'
loop_
_atom_site_label
_atom_site_fract_x
_atom_site_fract_y
_atom_site_fract_z
_atom_site_occupancy
Ni1 0.0000 0.0000 0.0000 1
Te1 0.2500 0.2500 0.5000 1
Au1 0.0000 0.5000 0.0000 1
```

Output
* total energy: -14.7 eV per formula unit
* DOS(E_F): 3.3 states/eV/f.u.
* crystal system: monoclinic

Entry 13:
The following is a GGA-PBE calculation of a relaxed structure of Ni3Te8Au3, from Alexandria.

Structure (CIF):
```
data_Ni3Te8Au3
_symmetry_space_group_name_H-M 'R -3 m'
_symmetry_Int_Tables_number 166
_symmetry_space_group_name_Hall '-R 3 2"'
_cell_length_a 7.8658
_cell_length_b 7.8658
_cell_length_c 20.0859
_cell_angle_alpha 90.00
_cell_angle_beta 90.00
_cell_angle_gamma 120.00
loop_
_atom_site_label
_atom_site_fract_x
_atom_site_fract_y
_atom_site_fract_z
_atom_site_occupancy
Ni1 0.0000 0.5000 0.0000 1
Te1 0.0000 0.0000 0.2663 1
Te2 0.0297 0.5149 0.2623 1
Au1 0.0000 0.0000 0.1311 1
Au2 0.0000 0.0000 0.5000 1
```

Output
* total energy: -54.1 eV per formula unit
* DOS(E_F): 8.3 states/eV/f.u.
* crystal system: trigonal

Entry 14:
The following is a GGA-PBE calculation of a relaxed structure of NiTe2Au, from Alexandria.

Structure (CIF):
```
data_NiTe2Au
_symmetry_space_group_name_H-M 'F -4 3 m'
_symmetry_Int_Tables_number 216
_symmetry_space_group_name_Hall 'F -4 2 3'
_cell_length_a 7.0030
_cell_length_b 7.0030
_cell_length_c 7.0030
_cell_angle_alpha 90.00
_cell_angle_beta 90.00
_cell_angle_gamma 90.00
loop_
_atom_site_label
_atom_site_fract_x
_atom_site_fract_y
_atom_site_fract_z
_atom_site_occupancy
Ni1 0.0000 0.0000 0.0000 1
Te1 0.0000 0.0000 0.5000 1
Te2 0.2500 0.2500 0.2500 1
Au1 0.2500 0.2500 0.7500 1
```

Output
* total energy: -13.1 eV per formula unit
* DOS(E_F): 3.6 states/eV/f.u.
* crystal system: cubic

Entry 15:
The following is a GGA-PBE calculation of a relaxed structure of NiTe2Au, from Alexandria.

Structure (CIF):
```
data_NiTe2Au
_symmetry_space_group_name_H-M 'I -4 2 d'
_symmetry_Int_Tables_number 122
_symmetry_space_group_name_Hall 'I -4 2bw'
_cell_length_a 6.0782
_cell_length_b 6.0782
_cell_length_c 11.6143
_cell_angle_alpha 90.00
_cell_angle_beta 90.00
_cell_angle_gamma 90.00
loop_
_atom_site_label
_atom_site_fract_x
_atom_site_fract_y
_atom_site_fract_z
_atom_site_occupancy
Ni1 0.0000 0.0000 0.0000 1
Te1 0.2104 0.2500 0.1250 1
Au1 0.0000 0.0000 0.5000 1
```

Output
* total energy: -15.5 eV per formula unit
* DOS(E_F): 4.2 states/eV/f.u.
* crystal system: tetragonal

Entry 16:
The following is a GGA-PBE calculation of a relaxed structure of NiTeAu2, from Alexandria.

Structure (CIF):
```
data_NiTeAu2
_symmetry_space_group_name_H-M 'I 4/m m m'
_symmetry_Int_Tables_number 139
_symmetry_space_group_name_Hall '-I 4 2'
_cell_length_a 3.9609
_cell_length_b 3.9609
_cell_length_c 9.3449
_cell_angle_alpha 90.00
_cell_angle_beta 90.00
_cell_angle_gamma 90.00
loop_
_atom_site_label
_atom_site_fract_x
_atom_site_fract_y
_atom_site_fract_z
_atom_site_occupancy
Ni1 0.0000 0.0000 0.0000 1
Te1 0.0000 0.0000 0.5000 1
Au1 0.0000 0.5000 0.2500 1
```

Output
* total energy: -14.7 eV per formula unit
* DOS(E_F): 3.6 states/eV/f.u.
* crystal system: tetragonal

Entry 17:
The following is a GGA-PBE calculation of a relaxed structure of NiTeAu2, from Alexandria.

Structure (CIF):
```
data_NiTeAu2
_symmetry_space_group_name_H-M 'P 1 m 1'
_symmetry_Int_Tables_number 6
_cell_length_a 4.0583
_cell_length_b 3.5816
_cell_length_c 5.4081
_cell_angle_alpha 90.00
_cell_angle_beta 99.35
_cell_angle_gamma 90.00
loop_
_symmetry_equiv_pos_as_xyz
'x,y,z'
'x,-y,z'
loop_
_atom_site_label
_atom_site_fract_x
_atom_site_fract_y
_atom_site_fract_z
_atom_site_occupancy
Ni1 0.0000 0.0000 0.0000 1
Te1 0.5826 0.5000 0.8494 1
Au1 0.3375 0.5000 0.3109 1
Au2 0.8789 0.0000 0.4719 1
```

Output
* total energy: -15.0 eV per formula unit
* DOS(E_F): 2.4 states/eV/f.u.
* crystal system: monoclinic

Entry 18:
The following is a GGA-PBE calculation of a relaxed structure of NiTe2Au, from Alexandria.

Structure (CIF):
```
data_NiTe2Au
_symmetry_space_group_name_H-M 'R -3 m'
_symmetry_Int_Tables_number 166
_symmetry_space_group_name_Hall '-R 3 2"'
_cell_length_a 3.8589
_cell_length_b 3.8589
_cell_length_c 23.8212
_cell_angle_alpha 90.00
_cell_angle_beta 90.00
_cell_angle_gamma 120.00
loop_
_atom_site_label
_atom_site_fract_x
_atom_site_fract_y
_atom_site_fract_z
_atom_site_occupancy
Ni1 0.0000 0.0000 0.0000 1
Te1 0.0000 0.0000 0.3897 1
Au1 0.0000 0.0000 0.5000 1
```

Output
* total energy: -15.7 eV per formula unit
* DOS(E_F): 2.3 states/eV/f.u.
* crystal system: trigonal

Entry 19:
The following is a GGA-PBE calculation of a relaxed structure of NiTeAu2, from Alexandria.

Structure (CIF):
```
data_NiTeAu2
_symmetry_space_group_name_H-M 'P 4 m m'
_symmetry_Int_Tables_number 99
_cell_length_a 3.2929
_cell_length_b 3.2929
_cell_length_c 6.9421
_cell_angle_alpha 90.00
_cell_angle_beta 90.00
_cell_angle_gamma 90.00
loop_
_symmetry_equiv_pos_as_xyz
'x,y,z'
'-y,x,z'
'-x,-y,z'
'y,-x,z'
'-x,y,z'
'y,x,z'
'x,-y,z'
'-y,-x,z'
loop_
_atom_site_label
_atom_site_fract_x
_atom_site_fract_y
_atom_site_fract_z
_atom_site_occupancy
Ni1 0.0000 0.0000 0.0000 1
Te1 0.5000 0.5000 0.1830 1
Au1 0.0000 0.0000 0.5345 1
Au2 0.5000 0.5000 0.7725 1
```

Output
* total energy: -15.0 eV per formula unit
* DOS(E_F): 1.4 states/eV/f.u.
* crystal system: tetragonal

Entry 20:
The following is a GGA-PBE calculation of a relaxed structure of NiTe2Au, from Alexandria.

Structure (CIF):
```
data_NiTe2Au
_symmetry_space_group_name_H-M 'I m m 2'
_symmetry_Int_Tables_number 44
_cell_length_a 3.2894
_cell_length_b 4.3238
_cell_length_c 12.2993
_cell_angle_alpha 90.00
_cell_angle_beta 90.00
_cell_angle_gamma 90.00
loop_
_symmetry_equiv_pos_as_xyz
'x,y,z'
'-x,-y,z'
'-x,y,z'
'x,-y,z'
'x+1/2,y+1/2,z+1/2'
'-x+1/2,-y+1/2,z+1/2'
'-x+1/2,y+1/2,z+1/2'
'x+1/2,-y+1/2,z+1/2'
loop_
_atom_site_label
_atom_site_fract_x
_atom_site_fract_y
_atom_site_fract_z
_atom_site_occupancy
Ni1 0.0000 0.0000 0.0000 1
Te1 0.0000 0.0000 0.4569 1
Te2 0.0000 0.5000 0.6653 1
Au1 0.0000 0.5000 0.3029 1
```

Output
* total energy: -14.8 eV per formula unit
* DOS(E_F): 2.5 states/eV/f.u.
* crystal system: orthorhombic

| no. | size of the total moment (μB/f.u.) |
| --- | --- |
| 1 | 0.0 |
| 2 | 0.0 |
| 3 | 0.0 |
| 4 | 0.0 |
| 5 | 1.0 |
| 6 | 0.0 |
| 7 | 0.0 |
| 8 | 0.0 |
| 9 | 0.0 |
| 10 | 0.0 |
| 11 | 0.0 |
| 12 | 0.4 |
| 13 | 0.0 |
| 14 | 0.0 |
| 15 | 0.0 |
| 16 | 0.0 |
| 17 | 0.0 |
| 18 | 0.0 |
| 19 | 0.0 |
| 20 | 0.0 |